Computed, not measured: a geometry-optimized KTl3Si structure at the PBE-GGA level of DFT.

Unit cell a=5.6129 b=5.6129 c=5.6129 alpha=90.00 beta=90.00 gamma=90.00
Element x y z (fractional)
K 0.0000 0.0000 0.0000
Tl 0.0000 0.5000 0.5000
Tl 0.5000 0.0000 0.5000
Tl 0.5000 0.5000 0.0000
Si 0.5000 0.5000 0.5000

Offset from the most stable computed form in eV/f.u.: 0.00
Raw formation energy in eV/atom: 0.20



Computed, not measured: a geometry-optimized Y2RuRh structure at the PBE-GGA level of DFT.

Unit cell a=6.0934 b=6.0934 c=6.0934 alpha=105.66 beta=105.66 gamma=117.39
Element x y z (fractional)
Y 0.1249 0.1250 0.4999
Y 0.3750 0.8751 0.0001
Y 0.6251 0.6250 0.5001
Y 0.8750 0.3749 0.9999
Ru 0.0000 0.0000 0.0000
Ru 0.7500 0.2500 0.5000
Rh 0.2500 0.7500 0.5000
Rh 0.5000 0.5000 0.0000

ΔH_f (0 K) in eV per atom: -0.09



Computed, not measured: a geometry-optimized UAlTc structure at the PBE-GGA level of DFT.

Unit cell a=6.0406 b=6.0406 c=6.0406 alpha=150.39 beta=150.39 gamma=42.38
Element x y z (fractional)
U 0.0000 0.0000 0.0000
Al 0.7099 0.7099 0.0000
Tc 0.3439 0.3439 0.0000

ΔH_f (0 K) in eV per atom: -0.16
Offset from the most stable computed form in eV/f.u.: 0.43



Computed, not measured: a geometry-optimized TmZrGe2 structure at the PBE-GGA level of DFT.

Unit cell a=5.5873 b=5.6029 c=10.7796 alpha=90.00 beta=105.03 gamma=90.00
Element x y z (fractional)
Tm 0.1968 0.1274 0.1396
Tm 0.1968 0.8726 0.6396
Tm 0.8032 0.1274 0.3604
Tm 0.8032 0.8726 0.8604
Zr 0.3123 0.3772 0.8651
Zr 0.3123 0.6228 0.3651
Zr 0.6877 0.3772 0.6349
Zr 0.6877 0.6228 0.1349
Ge 0.1684 0.3740 0.5944
Ge 0.1684 0.6260 0.0944
Ge 0.3302 0.1259 0.4136
Ge 0.3302 0.8741 0.9136
Ge 0.6698 0.1259 0.0864
Ge 0.6698 0.8741 0.5864
Ge 0.8316 0.3740 0.9056
Ge 0.8316 0.6260 0.4056

ΔH_f (0 K) in eV per atom: -0.81
Offset from the most stable computed form in eV/f.u.: 0.00



Computed, not measured: a geometry-optimized SmBiS2 structure at the PBE-GGA level of DFT.

Unit cell a=8.9751 b=8.9751 c=8.9751 alpha=25.76 beta=25.76 gamma=25.76
Element x y z (fractional)
Sm 0.0000 0.0000 0.0000
Bi 0.5000 0.5000 0.5000
S 0.3928 0.3928 0.3928
S 0.6072 0.6072 0.6072

Raw formation energy in eV/atom: -1.21



Computed, not measured: a geometry-optimized AcLa4SmTm2 structure at the PBE-GGA level of DFT.

Unit cell a=6.3827 b=6.3827 c=10.5194 alpha=114.44 beta=114.44 gamma=48.53
Element x y z (fractional)
Ac 0.0000 0.0000 0.0000
La 0.2470 0.2470 0.8699
La 0.2509 0.2509 0.3775
La 0.7491 0.7491 0.6225
La 0.7530 0.7530 0.1301
Sm 0.0000 0.0000 0.5000
Tm 0.4994 0.4994 0.2553
Tm 0.5006 0.5006 0.7447

ΔH_f (0 K) in eV per atom: 0.03



Computed, not measured: a geometry-optimized Si2NiIr structure at the PBE-GGA level of DFT.

Unit cell a=7.6970 b=7.6970 c=7.6970 alpha=20.99 beta=20.99 gamma=20.99
Element x y z (fractional)
Si 0.2464 0.2464 0.2464
Si 0.7536 0.7536 0.7536
Ni 0.5000 0.5000 0.5000
Ir 0.0000 0.0000 0.0000

Raw formation energy in eV/atom: -0.36



Computed, not measured: a geometry-optimized CdCuW3 structure at the PBE-GGA level of DFT.

Unit cell a=4.8267 b=4.8267 c=4.8267 alpha=90.00 beta=90.00 gamma=90.00
Element x y z (fractional)
Cd 0.0000 0.0000 0.0000
Cu 0.5000 0.5000 0.5000
W 0.0000 0.0000 0.5000
W 0.0000 0.5000 0.0000
W 0.5000 0.0000 0.0000

ΔH_f (0 K) in eV per atom: 3.22
Offset from the most stable computed form in eV/f.u.: 7.21



Computed, not measured: a geometry-optimized Gd3Nb5N12 structure at the PBE-GGA level of DFT.

Unit cell a=11.2905 b=11.2905 c=11.2905 alpha=109.47 beta=109.47 gamma=109.47
Element x y z (fractional)
Gd 0.1250 0.2500 0.3750
Gd 0.1250 0.3750 0.7500
Gd 0.2500 0.3750 0.1250
Gd 0.2500 0.8750 0.6250
Gd 0.3750 0.1250 0.2500
Gd 0.3750 0.7500 0.1250
Gd 0.6250 0.2500 0.8750
Gd 0.6250 0.8750 0.7500
Gd 0.7500 0.1250 0.3750
Gd 0.7500 0.6250 0.8750
Gd 0.8750 0.6250 0.2500
Gd 0.8750 0.7500 0.6250
Nb 0.0000 0.0000 0.0000
Nb 0.0000 0.0000 0.5000
Nb 0.0000 0.5000 0.0000
Nb 0.0000 0.5000 0.5000
Nb 0.1250 0.7500 0.8750
Nb 0.1250 0.8750 0.2500
Nb 0.2500 0.1250 0.8750
Nb 0.2500 0.6250 0.3750
Nb 0.3750 0.2500 0.6250
Nb 0.3750 0.6250 0.7500
Nb 0.5000 0.0000 0.0000
Nb 0.5000 0.0000 0.5000
Nb 0.5000 0.5000 0.0000
Nb 0.5000 0.5000 0.5000
Nb 0.6250 0.3750 0.2500
Nb 0.6250 0.7500 0.3750
Nb 0.7500 0.3750 0.6250
Nb 0.7500 0.8750 0.1250
Nb 0.8750 0.1250 0.7500
Nb 0.8750 0.2500 0.1250
N 0.0262 0.2047 0.1208
N 0.0262 0.3215 0.9055
N 0.0840 0.7047 0.6785
N 0.0840 0.8792 0.4055
N 0.0945 0.6208 0.4160
N 0.0945 0.9738 0.6785
N 0.1208 0.0262 0.2047
N 0.1208 0.5945 0.9160
N 0.1785 0.2047 0.5840
N 0.1785 0.4738 0.5945
N 0.2047 0.1208 0.0262
N 0.2047 0.5840 0.1785
N 0.2953 0.3215 0.9160
N 0.2953 0.4738 0.3792
N 0.3215 0.9055 0.0262
N 0.3215 0.9160 0.2953
N 0.3792 0.2953 0.4738
N 0.3792 0.5840 0.9055
N 0.4055 0.0840 0.8792
N 0.4055 0.8215 0.5262
N 0.4160 0.0945 0.6208
N 0.4160 0.8215 0.7953
N 0.4738 0.3792 0.2953
N 0.4738 0.5945 0.1785
N 0.5262 0.4055 0.8215
N 0.5262 0.6208 0.7047
N 0.5840 0.1785 0.2047
N 0.5840 0.9055 0.3792
N 0.5945 0.1785 0.4738
N 0.5945 0.9160 0.1208
N 0.6208 0.4160 0.0945
N 0.6208 0.7047 0.5262
N 0.6785 0.0840 0.7047
N 0.6785 0.0945 0.9738
N 0.7047 0.5262 0.6208
N 0.7047 0.6785 0.0840
N 0.7953 0.4160 0.8215
N 0.7953 0.8792 0.9738
N 0.8215 0.5262 0.4055
N 0.8215 0.7953 0.4160
N 0.8792 0.4055 0.0840
N 0.8792 0.9738 0.7953
N 0.9055 0.0262 0.3215
N 0.9055 0.3792 0.5840
N 0.9160 0.1208 0.5945
N 0.9160 0.2953 0.3215
N 0.9738 0.6785 0.0945
N 0.9738 0.7953 0.8792

Raw formation energy in eV/atom: -0.92



Computed, not measured: a geometry-optimized Eu2Ni4B structure at the PBE-GGA level of DFT.

Unit cell a=8.1051 b=8.1051 c=8.1051 alpha=151.66 beta=151.66 gamma=40.50
Element x y z (fractional)
Eu 0.1599 0.1599 0.0000
Eu 0.8401 0.8401 0.0000
Ni 0.0000 0.5000 0.5000
Ni 0.3758 0.3758 0.0000
Ni 0.5000 0.0000 0.5000
Ni 0.6242 0.6242 0.0000
B 0.5000 0.5000 0.0000

ΔH_f (0 K) in eV per atom: -0.12



Computed, not measured: a geometry-optimized Sm6SiC2Cl3 structure at the PBE-GGA level of DFT.

Unit cell a=9.2147 b=9.2147 c=8.3585 alpha=107.40 beta=107.40 gamma=24.17
Element x y z (fractional)
Sm 0.0239 0.0239 0.2548
Sm 0.3183 0.3183 0.4448
Sm 0.3332 0.3332 0.8624
Sm 0.6668 0.6668 0.1376
Sm 0.6817 0.6817 0.5552
Sm 0.9761 0.9761 0.7452
Si 0.5000 0.5000 0.0000
C 0.1704 0.1704 0.3397
C 0.8296 0.8296 0.6603
Cl 0.1660 0.1660 0.8307
Cl 0.5000 0.5000 0.5000
Cl 0.8340 0.8340 0.1693

Raw formation energy in eV/atom: -1.06



Computed, not measured: a geometry-optimized BaHo2Tl2Ag2 structure at the PBE-GGA level of DFT.

Unit cell a=9.9928 b=9.9928 c=9.9928 alpha=29.03 beta=29.03 gamma=29.03
Element x y z (fractional)
Ba 0.0000 0.0000 0.0000
Ho 0.1348 0.1348 0.1348
Ho 0.8652 0.8652 0.8652
Tl 0.2509 0.2509 0.2509
Tl 0.7491 0.7491 0.7491
Ag 0.4462 0.4462 0.4462
Ag 0.5538 0.5538 0.5538

ΔH_f (0 K) in eV per atom: -0.24



Computed, not measured: a geometry-optimized Dy3Ga2Si2 structure at the PBE-GGA level of DFT.

Unit cell a=5.7060 b=5.7060 c=7.2383 alpha=110.49 beta=110.49 gamma=43.79
Element x y z (fractional)
Dy 0.0000 0.0000 0.0000
Dy 0.1764 0.1764 0.6254
Dy 0.8236 0.8236 0.3746
Ga 0.3107 0.3107 0.0726
Ga 0.6893 0.6893 0.9274
Si 0.4666 0.4666 0.6533
Si 0.5334 0.5334 0.3467

Raw formation energy in eV/atom: -0.69



Computed, not measured: a geometry-optimized La5Cr structure at the PBE-GGA level of DFT.

Unit cell a=5.8821 b=9.2339 c=9.2339 alpha=23.48 beta=90.00 gamma=90.00
Element x y z (fractional)
La 0.0000 0.0000 0.0000
La 0.0000 0.2938 0.2938
La 0.5000 0.1191 0.1191
La 0.5000 0.4446 0.4446
La 0.5000 0.7734 0.7734
Cr 0.0000 0.6490 0.6490

ΔH_f (0 K) in eV per atom: 0.25
Offset from the most stable computed form in eV/f.u.: 0.42



Computed, not measured: a geometry-optimized AlAgBOs2 structure at the PBE-GGA level of DFT.

Unit cell a=4.5112 b=4.5112 c=4.5488 alpha=90.00 beta=90.00 gamma=90.00
Element x y z (fractional)
Al 0.0000 0.0000 0.0000
Ag 0.0000 0.0000 0.5000
B 0.5000 0.5000 0.5000
Os 0.0000 0.5000 0.0000
Os 0.5000 0.0000 0.0000

ΔH_f (0 K) in eV per atom: 2.35



Computed, not measured: a geometry-optimized LaNd3Ir structure at the PBE-GGA level of DFT.

Unit cell a=7.9406 b=7.9406 c=6.0636 alpha=90.00 beta=90.00 gamma=120.00
Element x y z (fractional)
La 0.3333 0.6667 0.2500
La 0.6667 0.3333 0.7500
Nd 0.1766 0.3532 0.7500
Nd 0.1766 0.8234 0.7500
Nd 0.3532 0.1766 0.2500
Nd 0.6468 0.8234 0.7500
Nd 0.8234 0.1766 0.2500
Nd 0.8234 0.6468 0.2500
Ir 0.0000 0.0000 0.0000
Ir 0.0000 0.0000 0.5000

ΔH_f (0 K) in eV per atom: -0.24
Offset from the most stable computed form in eV/f.u.: 0.03



Computed, not measured: a geometry-optimized K3Y3SnSe8 structure at the PBE-GGA level of DFT.

Unit cell a=9.1991 b=9.1991 c=9.1991 alpha=53.58 beta=53.58 gamma=53.58
Element x y z (fractional)
K 0.0000 0.5000 0.5000
K 0.5000 0.0000 0.5000
K 0.5000 0.5000 0.0000
Y 0.0000 0.0000 0.5000
Y 0.0000 0.5000 0.0000
Y 0.5000 0.0000 0.0000
Sn 0.5000 0.5000 0.5000
Se 0.2346 0.2346 0.2346
Se 0.2457 0.7268 0.7268
Se 0.2732 0.2732 0.7543
Se 0.2732 0.7543 0.2732
Se 0.7268 0.2457 0.7268
Se 0.7268 0.7268 0.2457
Se 0.7543 0.2732 0.2732
Se 0.7654 0.7654 0.7654

Raw formation energy in eV/atom: -1.47



Computed, not measured: a geometry-optimized Cs3NdAg2Cl8 structure at the PBE-GGA level of DFT.

Unit cell a=7.6549 b=7.6549 c=10.2227 alpha=90.00 beta=90.00 gamma=120.00
Element x y z (fractional)
Cs 0.0000 0.0000 0.0000
Cs 0.3333 0.6667 0.6359
Cs 0.6667 0.3333 0.3641
Nd 0.0000 0.0000 0.5000
Ag 0.3333 0.6667 0.1908
Ag 0.6667 0.3333 0.8092
Cl 0.1660 0.3319 0.3416
Cl 0.1660 0.8340 0.3416
Cl 0.3319 0.1660 0.6584
Cl 0.3333 0.6667 0.9552
Cl 0.6667 0.3333 0.0448
Cl 0.6681 0.8340 0.3416
Cl 0.8340 0.1660 0.6584
Cl 0.8340 0.6681 0.6584

Raw formation energy in eV/atom: -1.62



Computed, not measured: a geometry-optimized ScAs2Os structure at the PBE-GGA level of DFT.

Unit cell a=4.5324 b=4.5324 c=4.5324 alpha=60.00 beta=60.00 gamma=60.00
Element x y z (fractional)
Sc 0.0000 0.0000 0.0000
As 0.2500 0.2500 0.2500
As 0.7500 0.7500 0.7500
Os 0.5000 0.5000 0.5000

ΔH_f (0 K) in eV per atom: -0.25
Offset from the most stable computed form in eV/f.u.: 0.68



Computed, not measured: a geometry-optimized Pm5ThGe2 structure at the PBE-GGA level of DFT.

Unit cell a=7.6218 b=7.6218 c=7.6218 alpha=146.16 beta=101.25 gamma=88.53
Element x y z (fractional)
Pm 0.0000 0.0000 0.0000
Pm 0.0404 0.3449 0.6956
Pm 0.3507 0.6551 0.6956
Pm 0.6493 0.3449 0.3044
Pm 0.9596 0.6551 0.3044
Th 0.5000 0.0000 0.5000
Ge 0.2912 0.2912 0.0000
Ge 0.7088 0.7088 0.0000

ΔH_f (0 K) in eV per atom: -0.30



Computed, not measured: a geometry-optimized MgCdSi2 structure at the PBE-GGA level of DFT.

Unit cell a=4.8098 b=4.8098 c=5.7607 alpha=102.56 beta=102.56 gamma=36.46
Element x y z (fractional)
Mg 0.0000 0.0000 0.0000
Cd 0.5000 0.5000 0.5000
Si 0.2482 0.2482 0.8042
Si 0.7518 0.7518 0.1958

Offset from the most stable computed form in eV/f.u.: 0.23
Raw formation energy in eV/atom: 0.27



Computed, not measured: a geometry-optimized Pm2SmRe structure at the PBE-GGA level of DFT.

Unit cell a=11.7800 b=11.7800 c=11.7800 alpha=16.09 beta=16.09 gamma=16.09
Element x y z (fractional)
Pm 0.0767 0.0767 0.0767
Pm 0.9233 0.9233 0.9233
Sm 0.5000 0.5000 0.5000
Re 0.0000 0.0000 0.0000

ΔH_f (0 K) in eV per atom: 0.88



no.,DOS at the Fermi energy (states/eV/atom)
1,0.489
2,0.946
3,1.288
4,0.277
5,0.124
6,1.696
7,0.840
8,0.804
9,0.454
10,2.988
11,0.403
12,0.900
13,0.446
14,1.519
15,1.089
16,0.932
17,0.073
18,0.000
19,1.709
20,1.243
21,0.210
22,1.432